## LiThAsSe (PBE-GGA)

Data for an optimized crystal structure of LiThAsSe.

Properties
The space group is R-3m. The volume is 25.64 Å³ per atom. The value obtained for the raw formation energy is -1.192 eV per atom.

a = 4.713 Å, b = 4.713 Å, c = 11.005 Å
α = 77.64°, β = 77.64°, γ = 60.00°
Positions (direct):
Li1 0.803 0.803 0.592
Li2 0.197 0.197 0.408
Th1 0.608 0.608 0.176
Th2 0.392 0.392 0.824
As1 0.701 0.701 0.898
As2 0.299 0.299 0.102
Se1 0.116 0.116 0.652
Se2 0.884 0.884 0.348

=====

## MgCdSi2 (PBE-GGA)

Data for an optimized crystal structure of MgCdSi2.

Properties
The excess energy over the best structure of this formula in the dataset is 102.4 meV per atom. The space group is Cmmm. The volume is 18.71 Å³ per atom. The value obtained for the raw formation energy is 0.316 eV per atom.

a = 3.024 Å, b = 3.024 Å, c = 8.186 Å
α = 90.00°, β = 90.00°, γ = 90.10°
Positions (direct):
Cd1 0.500 0.500 0.250
Mg1 0.500 0.500 0.750
Si1 0.000 0.000 0.986
Si2 0.000 0.000 0.514

=====

## LiHo2Ag3 (PBE-GGA)

Data for an optimized crystal structure of LiHo2Ag3.

Properties
The excess energy over the best structure of this formula in the dataset is 0.0 meV per atom. The space group is P-3m1. For the formation energy, the calculation gives -0.24 eV/atom. The volume is 21.87 Å³ per atom.

a = 4.994 Å, b = 4.994 Å, c = 12.155 Å
α = 90.00°, β = 90.00°, γ = 120.00°
Positions (direct):
Li1 0.333 0.667 0.668
Li2 0.667 0.333 0.332
Ho1 0.000 0.000 0.500
Ho2 0.333 0.667 0.179
Ho3 0.667 0.333 0.821
Ho4 0.000 0.000 0.000
Ag1 0.333 0.667 0.428
Ag2 0.667 0.333 0.082
Ag3 0.000 0.000 0.747
Ag4 0.000 0.000 0.253
Ag5 0.333 0.667 0.918
Ag6 0.667 0.333 0.572

=====

- Which of these has the highest volume?
  LiThAsSe

=====

- What is the volume in the second record?
  18.71 Å³ per atom